# MoPdAu2F | Alexandria via LeMat-Bulk | GGA+U | relaxed
# Calculated volume in Å³ per atom: 19.054
# Size of the total moment in μB per atom: 0.961
# Total energy in eV per cell: -18.355
# Theoretical density in Mg/m³: 10.72
# DOS(E_F) in states/eV per cell: 2.62
data_MoPdAu2F
_chemical_formula_sum 'Mo1 Pd1 Au2 F1'
_cell_length_a 4.713
_cell_length_b 4.713
_cell_length_c 4.289
_cell_angle_alpha 90.00
_cell_angle_beta 90.00
_cell_angle_gamma 90.00
_space_group_name_H-M_alt 'P 4/m m m'
_space_group_IT_number 123
_space_group_name_Hall '-P 4 2'
loop_
_atom_site_label
_atom_site_fract_x
_atom_site_fract_y
_atom_site_fract_z
Mo1 0.000 0.000 0.000
Pd1 0.500 0.500 0.000
Au1 0.000 0.500 0.500
F1 0.500 0.500 0.500